# 1
Pm6PrTm5 | PBE | optimized geometry

- DFT formation energy: 0.019 eV per atom
- Total moment: 0.000 μB per atom
- Final energy: -4.6176 eV per atom

a = 5.093 Å, b = 10.079 Å, c = 15.251 Å
α = 90.00°, β = 90.00°, γ = 90.00°
Space group Immm (No. 71)
One atom of each set of equivalent atoms:
Pm (0.000, 0.246, 0.000) [4 per cell]
Pm (0.000, 0.252, 0.333) [8 per cell]
Pr (0.000, 0.000, 0.500) [2 per cell]
Tm (0.000, 0.000, 0.167) [4 per cell]
Tm (0.000, 0.500, 0.168) [4 per cell]
Tm (0.000, 0.500, 0.500) [2 per cell]



# 2
DyEr2Tl2Zn2 | PBE | optimized geometry

- DFT formation energy: -0.133 eV per atom
- Total moment: 0.000 μB per atom
- Final energy: -3.1344 eV per atom

a = 4.7546 Å, b = 4.7546 Å, c = 26.5607 Å
α = 90.00°, β = 90.00°, γ = 120.00°
Space group R-3m (No. 166, hexagonal axes)
One atom of each set of equivalent atoms:
Dy (0.0000, 0.0000, 0.0000) [3 per cell]
Er (0.0000, 0.0000, 0.1298) [6 per cell]
Tl (0.0000, 0.0000, 0.2669) [6 per cell]
Zn (0.0000, 0.0000, 0.4202) [6 per cell]



# 3
KEuO2 | PBE | optimized geometry

- Total moment: 1.500 μB per atom
- Final energy: -7.5661 eV per atom
- Formation energy from raw total energies: -2244 meV per atom

a = 3.5865 Å, b = 3.5865 Å, c = 18.7817 Å
α = 90.00°, β = 90.00°, γ = 120.00°
Space group R-3m (No. 166, hexagonal axes)
One atom of each set of equivalent atoms:
K (0.0000, 0.0000, 0.0000) [3 per cell]
Eu (0.0000, 0.0000, 0.5000) [3 per cell]
O (0.0000, 0.0000, 0.2301) [6 per cell]



# 4
CeGaTe2 | PBE | optimized geometry

- E above lowest polymorph: 293 meV/atom
- Total moment: 0.225 μB per atom
- Final energy: -4.4668 eV per atom
- Formation energy from raw total energies: -656 meV per atom

a = 4.5291 Å, b = 4.5291 Å, c = 28.7091 Å
α = 90.00°, β = 90.00°, γ = 120.00°
Space group R-3m (No. 166, hexagonal axes)
One atom of each set of equivalent atoms:
Ce (0.0000, 0.0000, 0.0000) [3 per cell]
Ga (0.0000, 0.0000, 0.5000) [3 per cell]
Te (0.0000, 0.0000, 0.3946) [6 per cell]



# 5
TcNiB | PBE | optimized geometry

- E above lowest polymorph: 161 meV/atom
- DFT formation energy: -0.137 eV per atom
- Total moment: 0.000 μB per atom
- Final energy: -7.7457 eV per atom

a = 8.589 Å, b = 2.957 Å, c = 6.157 Å
α = 90.00°, β = 125.32°, γ = 90.00°
Space group C2/m (No. 12)
One atom of each set of equivalent atoms:
Tc (0.171, 0.000, 0.090) [4 per cell]
Ni (0.082, 0.500, 0.384) [4 per cell]
B (0.116, 0.000, 0.659) [4 per cell]



# 6
Rb2PaO4 | PBE | optimized geometry

- Total moment: 0.134 μB per atom
- Final energy: -6.9510 eV per atom
- Formation energy from raw total energies: -2485 meV per atom

a = 4.465 Å, b = 4.465 Å, c = 14.201 Å
α = 90.00°, β = 90.00°, γ = 90.00°
Space group I4/mmm (No. 139)
One atom of each set of equivalent atoms:
Rb (0.000, 0.000, 0.153) [4 per cell]
Pa (0.000, 0.000, 0.500) [2 per cell]
O (0.000, 0.000, 0.358) [4 per cell]
O (0.000, 0.500, 0.000) [4 per cell]



# 7
Tm2MnH | PBE | optimized geometry

- Total moment: 0.910 μB per atom
- Final energy: -5.0516 eV per atom

a = 3.3169 Å, b = 3.3169 Å, c = 25.2838 Å
α = 90.00°, β = 90.00°, γ = 120.00°
Space group R-3m (No. 166, hexagonal axes)
One atom of each set of equivalent atoms:
Tm (0.0000, 0.0000, 0.1136) [6 per cell]
Mn (0.0000, 0.0000, 0.0000) [3 per cell]
H (0.0000, 0.0000, 0.5000) [3 per cell]



# 8
KCdGaAg3 | PBE | optimized geometry

- DFT formation energy: 0.059 eV per atom
- Total moment: 0.000 μB per atom
- Final energy: -2.2062 eV per atom

a = 7.401 Å, b = 13.107 Å, c = 6.300 Å
α = 90.00°, β = 90.00°, γ = 90.00°
Space group Cmcm (No. 63)
One atom of each set of equivalent atoms:
K (0.000, 0.212, 0.250) [4 per cell]
Cd (0.000, 0.460, 0.250) [4 per cell]
Ga (0.000, 0.123, 0.750) [4 per cell]
Ag (0.000, 0.326, 0.750) [4 per cell]
Ag (0.195, 0.000, 0.000) [8 per cell]



# 9
Tl2IrO | PBE | optimized geometry

- E above lowest polymorph: 0 meV/atom
- Total moment: 0.000 μB per atom
- Final energy: -4.4004 eV per atom
- Formation energy from raw total energies: 237 meV per atom

a = 6.614 Å, b = 6.614 Å, c = 7.137 Å
α = 90.00°, β = 90.00°, γ = 90.00°
Space group I-42d (No. 122)
One atom of each set of equivalent atoms:
Tl (0.203, 0.750, 0.125) [8 per cell]
Ir (0.000, 0.000, 0.500) [4 per cell]
O (0.000, 0.000, 0.000) [4 per cell]



# 10
PmCd3Hg4 | PBE | optimized geometry

- DFT formation energy: -0.194 eV per atom
- Total moment: 0.000 μB per atom
- Final energy: -1.2817 eV per atom

a = 9.751 Å, b = 8.122 Å, c = 4.876 Å
α = 90.00°, β = 90.00°, γ = 90.00°
Space group Pmma (No. 51)
One atom of each set of equivalent atoms:
Pm (0.000, 0.000, 0.000) [2 per cell]
Cd (0.000, 0.500, 0.000) [2 per cell]
Cd (0.250, 0.000, 0.499) [2 per cell]
Cd (0.250, 0.500, 0.498) [2 per cell]
Hg (0.000, 0.260, 0.500) [4 per cell]
Hg (0.250, 0.260, 0.998) [4 per cell]



# 11
PtCl3 | PBE | optimized geometry

- Total moment: 0.179 μB per atom
- Final energy: -2.2517 eV per atom
- Formation energy from raw total energies: 643 meV per atom

a = 7.7354 Å, b = 7.7354 Å, c = 4.6520 Å
α = 90.00°, β = 90.00°, γ = 120.00°
Space group R-3m (No. 166, hexagonal axes)
One atom of each set of equivalent atoms:
Pt (0.0000, 0.0000, 0.0000) [3 per cell]
Cl (0.0000, 0.5000, 0.0000) [9 per cell]



# 12
Zr2ZnReC | PBE | optimized geometry

- DFT formation energy: 1.771 eV per atom
- Total moment: 0.231 μB per atom
- Final energy: -6.2377 eV per atom

a = 4.996 Å, b = 4.996 Å, c = 4.757 Å
α = 90.00°, β = 90.00°, γ = 90.00°
Space group P4/mmm (No. 123)
One atom of each set of equivalent atoms:
Zr (0.000, 0.500, 0.000) [2 per cell]
Zn (0.000, 0.000, 0.500) [1 per cell]
Re (0.000, 0.000, 0.000) [1 per cell]
C (0.500, 0.500, 0.500) [1 per cell]



# 13
CuSi2Ru | PBE | optimized geometry

- E above lowest polymorph: 183 meV/atom
- Total moment: 0.000 μB per atom
- Final energy: -6.1542 eV per atom
- Formation energy from raw total energies: -100 meV per atom

a = 4.240 Å, b = 4.240 Å, c = 2.858 Å
α = 90.00°, β = 90.00°, γ = 90.00°
Space group P4/mmm (No. 123)
One atom of each set of equivalent atoms:
Cu (0.000, 0.000, 0.000) [1 per cell]
Si (0.000, 0.500, 0.500) [2 per cell]
Ru (0.500, 0.500, 0.000) [1 per cell]



# 14
ErTe2Pb | PBE | optimized geometry

- Total moment: 0.000 μB per atom
- Final energy: -4.4004 eV per atom
- Formation energy from raw total energies: -762 meV per atom

a = 4.2135 Å, b = 4.2135 Å, c = 26.3381 Å
α = 90.00°, β = 90.00°, γ = 120.00°
Space group R-3m (No. 166, hexagonal axes)
One atom of each set of equivalent atoms:
Er (0.0000, 0.0000, 0.0000) [3 per cell]
Te (0.0000, 0.0000, 0.2636) [6 per cell]
Pb (0.0000, 0.0000, 0.5000) [3 per cell]